1.
Material: ScTl2P
Method: DFT, PBE-GGA
State: optimized geometry

Cell lengths 6.0135, 6.0135, 6.0135 Å; angles 143.55, 130.34, 63.15 degrees
Closest atoms and distances in Å follow each position.
Atoms (fractional coordinates):
Sc 0.0000 0.0000 0.0000  2 P 2.54
Tl 0.4256 0.4256 0.0000  4 Sc 3.24, 4 P 3.26-3.53, 4 Tl 3.32-3.51
Tl 0.7148 0.2148 0.5000  4 P 3.19, 4 Tl 3.32-3.51, 4 Sc 3.35-3.48
P 0.1660 0.6660 0.5000  2 Sc 2.54

Calculated values
magnetization: 0.00 μB per formula unit
calculated formation energy: -0.183 eV per atom

---

2.
Material: Pm3Dy2Er6Pu
Method: DFT, PBE-GGA
State: optimized geometry

Cell lengths 6.1366, 6.1366, 11.6485 Å; angles 95.04, 95.04, 120.00 degrees
Closest atoms and distances in Å follow each position.
Atoms (fractional coordinates):
Pm 0.0000 0.0000 0.0000  6 Pm 3.54-3.55, 6 Er 3.56-3.58
Pm 0.3328 0.6672 0.0000  6 Pm 3.54-3.55, 6 Er 3.56-3.58
Pm 0.6672 0.3328 0.0000  6 Pm 3.54-3.55, 6 Er 3.56-3.58
Dy 0.1666 0.8334 0.5000  6 Er 3.49, 3 Dy 3.54, 3 Pu 3.54
Dy 0.8334 0.1666 0.5000  6 Er 3.49, 3 Dy 3.54, 3 Pu 3.54
Er 0.0891 0.4181 0.2546  1 Pu 3.46, 2 Dy 3.49, 6 Er 3.50-3.57, 3 Pm 3.56-3.58
Er 0.2528 0.2528 0.7455  1 Pu 3.46, 2 Dy 3.49, 6 Er 3.50-3.57, 3 Pm 3.56-3.58
Er 0.4181 0.0891 0.2546  1 Pu 3.46, 2 Dy 3.49, 6 Er 3.50-3.57, 3 Pm 3.56-3.58
Er 0.5819 0.9109 0.7454  1 Pu 3.46, 2 Dy 3.49, 6 Er 3.50-3.57, 3 Pm 3.56-3.58
Er 0.7472 0.7472 0.2545  1 Pu 3.46, 2 Dy 3.49, 6 Er 3.50-3.57, 3 Pm 3.56-3.58
Er 0.9109 0.5819 0.7454  1 Pu 3.46, 2 Dy 3.49, 6 Er 3.50-3.57, 3 Pm 3.56-3.58
Pu 0.5000 0.5000 0.5000  6 Er 3.46, 6 Dy 3.54

Calculated values
magnetization: 6.49 μB per formula unit
calculated formation energy: 0.041 eV per atom

---

Number 1: DOS(E_F) 0.4351 states/eV/atom. Number 2: DOS(E_F) 1.8418 states/eV/atom.